No. 1
{"formula": "Tm2ZnPt3", "functional": "GGA-PBE", "state": "optimized geometry", "lattice_angstrom": [[4.2701, 0.0000, 0.0000], [0.0000, 5.4067, 0.0000], [-2.1350, -2.7034, 5.3357]], "species": ["Tm", "Tm", "Zn", "Pt", "Pt", "Pt"], "frac_coords": [[0.6877, 0.1877, 0.3754], [0.3123, 0.8123, 0.6246], [0.0000, 0.5000, 0.0000], [0.3683, 0.3683, 0.7366], [0.0000, 0.0000, 0.0000], [0.6317, 0.6317, 0.2634]], "e_form_ev_per_fu": -5.25, "polymorph_energy_ev_per_atom": 0.205, "dos_ef_per_ev_cell": 2.3, "space_group": "No. 71"}

=====

No. 2
{"formula": "TmZn4Pt2", "functional": "GGA-PBE", "state": "optimized geometry", "lattice_angstrom": [[4.2844, 0.0000, 0.0000], [0.0000, 7.4595, 0.0000], [0.0000, 0.0000, 7.4595]], "species": ["Tm", "Tm", "Zn", "Zn", "Zn", "Zn", "Zn", "Zn", "Zn", "Zn", "Pt", "Pt", "Pt", "Pt"], "frac_coords": [[0.5000, 0.0000, 0.0000], [0.0000, 0.5000, 0.5000], [0.0000, 0.1023, 0.3555], [0.0000, 0.8977, 0.6445], [0.5000, 0.1445, 0.6023], [0.5000, 0.8555, 0.3977], [0.5000, 0.3977, 0.8555], [0.5000, 0.6023, 0.1445], [0.0000, 0.3555, 0.1023], [0.0000, 0.6445, 0.8977], [0.0000, 0.2107, 0.7893], [0.0000, 0.7893, 0.2107], [0.5000, 0.7107, 0.7107], [0.5000, 0.2893, 0.2893]], "e_form_ev_per_fu": -4.56, "dos_ef_per_ev_cell": 4.2, "space_group": "No. 136"}

=====

No. 3
{"formula": "TmZnPt", "functional": "GGA-PBE", "state": "optimized geometry", "lattice_angstrom": [[3.9823, 0.0000, -0.0456], [0.0000, 4.6457, 0.0000], [-1.9245, 0.0000, 6.2586]], "species": ["Tm", "Tm", "Zn", "Zn", "Pt", "Pt"], "frac_coords": [[0.8988, 0.2500, 0.7970], [0.1012, 0.7500, 0.2030], [0.5949, 0.2500, 0.1908], [0.4051, 0.7500, 0.8092], [0.2353, 0.2500, 0.4711], [0.7647, 0.7500, 0.5289]], "e_form_ev_per_fu": -2.20, "dos_ef_per_ev_cell": 3.4, "space_group": "No. 63"}

=====

No. 4
{"formula": "Tm2Zn16Pt", "functional": "GGA-PBE", "state": "optimized geometry", "lattice_angstrom": [[6.7135, 0.0449, 0.8069], [0.7211, 6.6748, 0.8069], [0.0497, 0.0449, 6.7616]], "species": ["Tm", "Tm", "Zn", "Zn", "Zn", "Zn", "Zn", "Zn", "Zn", "Zn", "Zn", "Zn", "Zn", "Zn", "Zn", "Zn", "Zn", "Zn", "Pt"], "frac_coords": [[0.6691, 0.6691, 0.6691], [0.3374, 0.3374, 0.3374], [0.7049, 0.9985, 0.2935], [0.9985, 0.2935, 0.7049], [0.2935, 0.7049, 0.9985], [0.9985, 0.7049, 0.2935], [0.7049, 0.2935, 0.9985], [0.2935, 0.9985, 0.7049], [0.3567, 0.8359, 0.3567], [0.8359, 0.3567, 0.3567], [0.3567, 0.3567, 0.8359], [0.6477, 0.1569, 0.6477], [0.1569, 0.6477, 0.6477], [0.6477, 0.6477, 0.1569], [0.9995, 0.5002, 0.9995], [0.5002, 0.9995, 0.9995], [0.9995, 0.9995, 0.5002], [0.1018, 0.1018, 0.1018], [0.8972, 0.8972, 0.8972]], "e_form_ev_per_fu": -5.24, "dos_ef_per_ev_cell": 6.2, "space_group": "No. 160"}

=====

No. 5
{"formula": "Tm7Zn2Pt2", "functional": "GGA-PBE", "state": "optimized geometry", "lattice_angstrom": [[-1.8908, -4.4937, 4.4577], [-4.0074, -3.1018, -4.8278], [5.4081, -2.3361, -2.9892]], "species": ["Tm", "Tm", "Tm", "Tm", "Tm", "Tm", "Tm", "Zn", "Zn", "Pt", "Pt"], "frac_coords": [[0.0000, 0.2635, 0.4999], [0.4999, 0.7365, 0.0000], [0.0000, 0.7365, 0.5001], [0.5001, 0.2635, 0.0000], [0.0000, 0.0000, 0.0000], [0.5000, 0.7430, 0.5000], [0.5000, 0.2570, 0.5000], [0.8300, 0.5000, 0.8300], [0.1700, 0.5000, 0.1700], [0.7124, 0.0000, 0.2876], [0.2876, 0.0000, 0.7124]], "e_form_ev_per_fu": -5.15, "dos_ef_per_ev_cell": 10.5, "space_group": "No. 65"}

=====

No. 6
{"formula": "Tm2ZnPt3", "functional": "GGA-PBE", "state": "optimized geometry", "lattice_angstrom": [[5.5254, 0.0000, 0.0000], [-2.7627, 4.7852, 0.0000], [0.0000, 0.0000, 8.3061]], "species": ["Tm", "Tm", "Tm", "Tm", "Zn", "Zn", "Pt", "Pt", "Pt", "Pt", "Pt", "Pt"], "frac_coords": [[0.6667, 0.3333, 0.4417], [0.3333, 0.6667, 0.5583], [0.3333, 0.6667, 0.9417], [0.6667, 0.3333, 0.0583], [0.0000, 0.0000, 0.5000], [0.0000, 0.0000, 0.0000], [0.1684, 0.3368, 0.2500], [0.3368, 0.1684, 0.7500], [0.8316, 0.6632, 0.7500], [0.1684, 0.8316, 0.2500], [0.8316, 0.1684, 0.7500], [0.6632, 0.8316, 0.2500]], "e_form_ev_per_fu": -6.48, "polymorph_energy_ev_per_atom": 0.000, "dos_ef_per_ev_cell": 6.0, "space_group": "No. 194"}

=====

No. 7
{"formula": "Tm3Zn2Pt6", "functional": "GGA-PBE", "state": "optimized geometry", "lattice_angstrom": [[-1.5163, -0.3957, -8.0660], [-3.8286, -6.1900, 3.8135], [-2.7489, 7.1570, 2.9558]], "species": ["Tm", "Tm", "Tm", "Tm", "Tm", "Tm", "Zn", "Zn", "Zn", "Zn", "Pt", "Pt", "Pt", "Pt", "Pt", "Pt", "Pt", "Pt", "Pt", "Pt", "Pt", "Pt"], "frac_coords": [[0.6936, 0.0000, 0.6936], [0.3064, 0.0000, 0.3064], [0.0000, 0.3064, 0.3064], [0.0000, 0.6936, 0.6936], [0.3064, 0.3064, 0.0000], [0.6936, 0.6936, 0.0000], [0.0000, 0.5000, 0.0000], [0.5000, 0.0000, 0.0000], [0.0000, 0.0000, 0.5000], [0.5000, 0.5000, 0.5000], [0.6714, 0.3427, 0.6714], [0.6714, 0.0000, 0.3286], [0.3286, 0.0000, 0.6714], [0.3286, 0.6573, 0.3286], [0.0000, 0.6714, 0.3286], [0.6573, 0.3286, 0.3286], [0.3427, 0.6714, 0.6714], [0.0000, 0.3286, 0.6714], [0.3286, 0.6714, 0.0000], [0.6714, 0.6714, 0.3427], [0.3286, 0.3286, 0.6573], [0.6714, 0.3286, 0.0000]], "e_form_ev_per_fu": -10.71, "dos_ef_per_ev_cell": 8.1, "space_group": "No. 229"}

=====

No. 8
{"formula": "Tm5Zn2Pt", "functional": "GGA-PBE", "state": "optimized geometry", "lattice_angstrom": [[6.4248, 0.0000, -3.0328], [-1.4317, 6.2633, -3.0328], [0.3491, 0.4379, 9.0611]], "species": ["Tm", "Tm", "Tm", "Tm", "Tm", "Tm", "Tm", "Tm", "Tm", "Tm", "Zn", "Zn", "Zn", "Zn", "Pt", "Pt"], "frac_coords": [[0.5188, 0.6747, 0.6935], [0.8253, 0.9812, 0.3065], [0.0000, 0.0000, 0.0000], [0.5000, 0.5000, 0.0000], [0.1747, 0.0188, 0.6935], [0.6747, 0.1747, 0.6935], [0.0188, 0.5188, 0.6935], [0.3253, 0.8253, 0.3065], [0.9812, 0.4812, 0.3065], [0.4812, 0.3253, 0.3065], [0.1226, 0.3774, 0.0000], [0.6226, 0.1226, 0.0000], [0.3774, 0.8774, 0.0000], [0.8774, 0.6226, 0.0000], [0.7500, 0.7500, 0.5000], [0.2500, 0.2500, 0.5000]], "e_form_ev_per_fu": -4.09, "dos_ef_per_ev_cell": 17.2, "space_group": "No. 140"}